1.
Computed, not measured: crystalline TlHgBiPb at its relaxed geometry at the GGA-PBE level of DFT.

a = 7.923 Å, b = 7.923 Å, c = 7.923 Å
α = 90.00°, β = 90.00°, γ = 90.00°
Atoms (fractional coordinates):
1 Tl 0.000 0.000 0.000
2 Tl 0.000 0.500 0.500
3 Tl 0.500 0.000 0.500
4 Tl 0.500 0.500 0.000
5 Hg 0.250 0.250 0.750
6 Hg 0.250 0.750 0.250
7 Hg 0.750 0.250 0.250
8 Hg 0.750 0.750 0.750
9 Bi 0.250 0.250 0.250
10 Bi 0.250 0.750 0.750
11 Bi 0.750 0.250 0.750
12 Bi 0.750 0.750 0.250
13 Pb 0.000 0.000 0.500
14 Pb 0.000 0.500 0.000
15 Pb 0.500 0.000 0.000
16 Pb 0.500 0.500 0.500

Space group ... F-43m, No. 216
Spin magnetization ... 0.0 μB/f.u.

=====

2.
Computed, not measured: crystalline Tl2HgBi2Pb2 at its relaxed geometry at the GGA-PBE level of DFT.

a = 5.247 Å, b = 6.443 Å, c = 7.139 Å
α = 91.23°, β = 90.24°, γ = 113.68°
Atoms (fractional coordinates):
1 Tl 0.069 0.138 0.263
2 Tl 0.931 0.862 0.737
3 Hg 0.500 0.000 0.000
4 Bi 0.367 0.737 0.433
5 Bi 0.633 0.263 0.567
6 Pb 0.221 0.441 0.823
7 Pb 0.779 0.559 0.177

Space group ... P-1, No. 2
Spin magnetization ... 0.0 μB/f.u.

=====

Number 1: formation energy from the elements 0.02 eV per formula unit, N(E_F) 12.46 states/eV/cell. Number 2: formation energy from the elements 0.03 eV per formula unit, N(E_F) 3.55 states/eV/cell.